No. 1
Density functional theory data (PBE) for a relaxed structure of NdPu3Hg4.

Cell lengths 3.6894, 3.6894, 15.8969 Å; angles 90.00, 90.00, 90.00 degrees
With the nearest neighbours (Å) after each atom.
Sites, in units of the cell vectors:
1 Hg 0.0000 0.0000 0.6247  8 Pu 3.27-3.28
2 Pu 0.5000 0.5000 0.7492  8 Hg 3.27-3.28
3 Pu 0.5000 0.5000 0.2508  8 Hg 3.27-3.28
4 Hg 0.0000 0.0000 0.3753  8 Pu 3.27-3.28
5 Hg 0.0000 0.0000 0.1255  4 Pu 3.28, 4 Nd 3.28
6 Pu 0.5000 0.5000 0.5000  8 Hg 3.28
7 Hg 0.0000 0.0000 0.8745  4 Pu 3.28, 4 Nd 3.28
8 Nd 0.5000 0.5000 0.0000  8 Hg 3.28

Results
- SG = No. 123
- Fermi-level density of states (states/eV/atom) = 3.1627
- crystal system = tetragonal
- energy of formation (eV/atom) = -0.19



No. 2
Density functional theory data (PBE) for a relaxed structure of NdPuHg2.

Cell lengths 5.3802, 5.3802, 5.3802 Å; angles 60.00, 60.00, 60.00 degrees
With the nearest neighbours (Å) after each atom.
Sites, in units of the cell vectors:
1 Nd 0.5000 0.5000 0.5000  8 Hg 3.29
2 Hg 0.2500 0.2500 0.2500  4 Pu 3.29, 4 Nd 3.29
3 Hg 0.7500 0.7500 0.7500  4 Nd 3.29, 4 Pu 3.29
4 Pu 0.0000 0.0000 0.0000  8 Hg 3.29

Results
- SG = No. 225
- Fermi-level density of states (states/eV/atom) = 2.9278
- crystal system = cubic
- offset from the most stable computed form (meV/atom) = 19.1
- energy of formation (eV/atom) = -0.27



No. 3
Density functional theory data (PBE) for a relaxed structure of NdPu2Hg3.

Cell lengths 3.3814, 3.3814, 13.7141 Å; angles 90.00, 90.00, 90.00 degrees
With the nearest neighbours (Å) after each atom.
Sites, in units of the cell vectors:
1 Hg 0.0000 0.0000 0.3314  4 Pu 3.29, 4 Nd 3.33, 4 Hg 3.38
2 Hg 0.0000 0.0000 0.6686  4 Pu 3.29, 4 Nd 3.33, 4 Hg 3.38
3 Pu 0.5000 0.5000 0.8338  8 Hg 3.29-3.30, 4 Pu 3.38
4 Hg 0.0000 0.0000 0.0000  8 Pu 3.30, 4 Hg 3.38
5 Pu 0.5000 0.5000 0.1662  8 Hg 3.29-3.30, 4 Pu 3.38
6 Nd 0.5000 0.5000 0.5000  8 Hg 3.33, 4 Nd 3.38

Results
- SG = No. 123
- Fermi-level density of states (states/eV/atom) = 2.6434
- crystal system = tetragonal
- offset from the most stable computed form (meV/atom) = 18.7
- energy of formation (eV/atom) = -0.20



No. 4
Density functional theory data (PBE) for a relaxed structure of Nd2PuHg8.

Cell lengths 5.2392, 7.3419, 8.7832 Å; angles 114.72, 107.35, 90.00 degrees
With the nearest neighbours (Å) after each atom.
Sites, in units of the cell vectors:
1 Nd 0.8068 0.3067 0.6135  10 Hg 3.13-3.45
2 Nd 0.1932 0.6933 0.3865  10 Hg 3.13-3.45
3 Hg 0.3536 0.5659 0.7071  1 Pu 3.05, 4 Hg 3.12-3.37, 3 Nd 3.13-3.21
4 Hg 0.6463 0.8586 0.2927  1 Pu 3.05, 4 Hg 3.12-3.37, 3 Nd 3.13-3.21
5 Hg 0.0000 0.7113 0.0000  7 Hg 3.10-3.43, 2 Nd 3.30, 2 Pu 3.37
6 Hg 0.0000 0.2887 0.0000  7 Hg 3.10-3.43, 2 Nd 3.30, 2 Pu 3.37
7 Pu 0.5000 0.0000 0.0000  8 Hg 3.05-3.37
8 Hg 0.8426 0.8426 0.6853  8 Hg 3.18-3.37, 2 Nd 3.45, 2 Pu 3.53
9 Hg 0.6464 0.4341 0.2929  1 Pu 3.05, 4 Hg 3.12-3.37, 3 Nd 3.13-3.21
10 Hg 0.1574 0.1574 0.3147  8 Hg 3.18-3.37, 2 Nd 3.45, 2 Pu 3.53
11 Hg 0.3537 0.1414 0.7073  1 Pu 3.05, 4 Hg 3.12-3.37, 3 Nd 3.13-3.21

Results
- SG = No. 71
- Fermi-level density of states (states/eV/atom) = 1.5689
- crystal system = orthorhombic
- energy of formation (eV/atom) = -0.25



No. 5
Density functional theory data (PBE) for a relaxed structure of Nd5PuHg4.

Cell lengths 3.8014, 3.8014, 19.9618 Å; angles 90.00, 90.00, 90.00 degrees
With the nearest neighbours (Å) after each atom.
Sites, in units of the cell vectors:
1 Nd 0.5000 0.5000 0.1131  4 Hg 3.27, 4 Pu 3.51
2 Hg 0.0000 0.0000 0.7939  8 Nd 3.27-3.35
3 Nd 0.5000 0.5000 0.3063  8 Hg 3.31-3.35
4 Hg 0.0000 0.0000 0.4033  8 Nd 3.31
5 Nd 0.5000 0.5000 0.8869  4 Hg 3.27, 4 Pu 3.51
6 Nd 0.5000 0.5000 0.6937  8 Hg 3.31-3.35
7 Hg 0.0000 0.0000 0.2061  8 Nd 3.27-3.35
8 Hg 0.0000 0.0000 0.5967  8 Nd 3.31
9 Nd 0.5000 0.5000 0.5000  8 Hg 3.31
10 Pu 0.0000 0.0000 0.0000  8 Nd 3.51, 4 Pu 3.80

Results
- SG = No. 123
- Fermi-level density of states (states/eV/atom) = 1.7291
- crystal system = tetragonal
- energy of formation (eV/atom) = -0.33



No. 6
Density functional theory data (PBE) for a relaxed structure of NdPuHg.

Cell lengths 3.6240, 5.8108, 8.8798 Å; angles 111.57, 90.00, 108.17 degrees
With the nearest neighbours (Å) after each atom.
Sites, in units of the cell vectors:
1 Nd 0.3918 0.7835 0.7405  4 Hg 3.14-3.24, 2 Pu 3.37
2 Hg 0.3676 0.7351 0.3652  1 Hg 2.98, 4 Nd 3.14-3.24, 1 Pu 3.20
3 Pu 0.8192 0.6384 0.0146  2 Pu 2.32
4 Nd 0.6082 0.2165 0.2595  4 Hg 3.14-3.24, 2 Pu 3.37
5 Pu 0.1808 0.3616 0.9854  2 Pu 2.32
6 Hg 0.6324 0.2649 0.6348  1 Hg 2.98, 4 Nd 3.14-3.24, 1 Pu 3.20

Results
- SG = No. 12
- Fermi-level density of states (states/eV/atom) = 1.8216
- crystal system = monoclinic
- offset from the most stable computed form (meV/atom) = 205.8
- energy of formation (eV/atom) = 0.11



No. 7
Density functional theory data (PBE) for a relaxed structure of NdPu2Hg3.

Cell lengths 5.3625, 5.3625, 6.5510 Å; angles 90.00, 90.00, 120.00 degrees
With the nearest neighbours (Å) after each atom.
Sites, in units of the cell vectors:
1 Pu 0.6667 0.3333 0.3549  8 Hg 3.22-3.37
2 Hg 0.3333 0.6667 0.1529  5 Pu 3.22-3.37, 3 Nd 3.25
3 Nd 0.0000 0.0000 0.0000  8 Hg 3.25-3.28
4 Hg 0.6667 0.3333 0.8471  5 Pu 3.22-3.37, 3 Nd 3.25
5 Pu 0.3333 0.6667 0.6451  8 Hg 3.22-3.37
6 Hg 0.0000 0.0000 0.5000  6 Pu 3.24, 2 Nd 3.28

Results
- SG = No. 164
- Fermi-level density of states (states/eV/atom) = 3.1923
- crystal system = trigonal
- offset from the most stable computed form (meV/atom) = 0.0
- energy of formation (eV/atom) = -0.22



No. 8
Density functional theory data (PBE) for a relaxed structure of NdPuSnHg.

Cell lengths 5.4132, 5.4132, 5.4132 Å; angles 60.00, 60.00, 60.00 degrees
With the nearest neighbours (Å) after each atom.
Sites, in units of the cell vectors:
1 Nd 0.5000 0.5000 0.5000  4 Sn 3.31, 4 Hg 3.31
2 Hg 0.7500 0.7500 0.7500  4 Nd 3.31, 4 Pu 3.31
3 Sn 0.2500 0.2500 0.2500  4 Pu 3.31, 4 Nd 3.31
4 Pu 0.0000 0.0000 0.0000  4 Hg 3.31, 4 Sn 3.31

Results
- SG = No. 216
- Fermi-level density of states (states/eV/atom) = 2.6348
- crystal system = cubic
- energy of formation (eV/atom) = -0.40



No. 9
Density functional theory data (PBE) for a relaxed structure of TbNdPuHg.

Cell lengths 5.4374, 5.4374, 5.4374 Å; angles 60.00, 60.00, 60.00 degrees
With the nearest neighbours (Å) after each atom.
Sites, in units of the cell vectors:
1 Hg 0.0000 0.0000 0.0000  4 Tb 3.33, 4 Nd 3.33
2 Nd 0.7500 0.7500 0.7500  4 Pu 3.33, 4 Hg 3.33
3 Pu 0.5000 0.5000 0.5000  4 Nd 3.33, 4 Tb 3.33
4 Tb 0.2500 0.2500 0.2500  4 Hg 3.33, 4 Pu 3.33

Results
- SG = No. 216
- Fermi-level density of states (states/eV/atom) = 3.9849
- crystal system = cubic
- energy of formation (eV/atom) = 0.03



No. 10
Density functional theory data (PBE) for a relaxed structure of NdPuTlHg.

Cell lengths 5.4327, 5.4327, 5.4327 Å; angles 60.00, 60.00, 60.00 degrees
With the nearest neighbours (Å) after each atom.
Sites, in units of the cell vectors:
1 Pu 0.2500 0.2500 0.2500  4 Hg 3.33, 4 Tl 3.33
2 Tl 0.0000 0.0000 0.0000  4 Nd 3.33, 4 Pu 3.33
3 Nd 0.7500 0.7500 0.7500  4 Tl 3.33, 4 Hg 3.33
4 Hg 0.5000 0.5000 0.5000  4 Pu 3.33, 4 Nd 3.33

Results
- SG = No. 216
- Fermi-level density of states (states/eV/atom) = 2.5357
- crystal system = cubic
- energy of formation (eV/atom) = -0.22



No. 11
Density functional theory data (PBE) for a relaxed structure of NdYPuHg.

Cell lengths 5.4429, 5.4429, 5.4429 Å; angles 60.00, 60.00, 60.00 degrees
With the nearest neighbours (Å) after each atom.
Sites, in units of the cell vectors:
1 Pu 0.0000 0.0000 0.0000  4 Nd 3.33, 4 Y 3.33
2 Hg 0.5000 0.5000 0.5000  4 Y 3.33, 4 Nd 3.33
3 Y 0.7500 0.7500 0.7500  4 Hg 3.33, 4 Pu 3.33
4 Nd 0.2500 0.2500 0.2500  4 Hg 3.33, 4 Pu 3.33

Results
- SG = No. 216
- Fermi-level density of states (states/eV/atom) = 4.0533
- crystal system = cubic
- energy of formation (eV/atom) = 0.03



No. 12
Density functional theory data (PBE) for a relaxed structure of RbNdHg2.

Cell lengths 3.9416, 3.9416, 8.7080 Å; angles 90.00, 90.00, 90.00 degrees
With the nearest neighbours (Å) after each atom.
Sites, in units of the cell vectors:
1 Rb 0.5000 0.5000 0.5000  8 Hg 3.83, 4 Rb 3.94
2 Nd 0.5000 0.5000 0.0000  8 Hg 3.28
3 Hg 0.0000 0.0000 0.1983  4 Nd 3.28, 1 Hg 3.45
4 Hg 0.0000 0.0000 0.8017  4 Nd 3.28, 1 Hg 3.45

Results
- SG = No. 123
- Fermi-level density of states (states/eV/atom) = 0.9784
- crystal system = tetragonal
- offset from the most stable computed form (meV/atom) = 0.0
- energy of formation (eV/atom) = -0.27